No. 1
DFT (GGA-PBE) results for a relaxed TlAsSe3 crystal.

Values from the calculation:
Formation energy from raw total energies   -0.12 eV per atom
Total DFT energy (no corrections)   -3.61 eV/atom
Excess energy over the best structure of this formula in the dataset   32 kJ/mol of formula units
V   289.1 Å³/cell

a b c (Å): 6.8366 5.3345 7.9286
angles (deg): 90.00 91.11 90.00
Sites, in units of the cell vectors:
Tl 0.0433 0.2500 0.1640
Tl 0.9567 0.7500 0.8360
As 0.4213 0.2500 0.6634
As 0.5787 0.7500 0.3366
Se 0.0818 0.2500 0.6660
Se 0.4572 0.7500 0.0068
Se 0.4946 0.2500 0.3341
Se 0.5054 0.7500 0.6659
Se 0.5428 0.2500 0.9932
Se 0.9182 0.7500 0.3340

---

No. 2
DFT (GGA-PBE) results for a relaxed YCoMo2 crystal.

Values from the calculation:
Energy of formation from the pure elements   0.196 eV per atom
Total DFT energy (no corrections)   -8.61 eV/atom
Excess energy over the best structure of this formula in the dataset   0 kJ/mol of formula units
V   69.7 Å³/cell

a b c (Å): 3.2204 3.2204 6.7173
angles (deg): 90.00 90.00 90.00
Sites, in units of the cell vectors:
Y 0.0000 0.0000 0.0000
Co 0.5000 0.5000 0.2734
Mo 0.0000 0.0000 0.4878
Mo 0.5000 0.5000 0.6928